The following is a DFT calculation (GGA-PBE) of NiAs2W after structural relaxation.

Summary:
symmetry = I-42d, No. 122
density of states at the Fermi level = 5.14 states/eV per cell
E = -52.73 eV per cell

Lattice parameters (Å, degrees): 6.6680 6.6680 6.6680 130.85 130.85 72.05
Closest atoms and distances in Å follow each position.
Fractional coordinates of all 8 atoms:
Ni1 0.0000 0.0000 0.0000  4 As 2.32
Ni2 0.7500 0.2500 0.5000  4 As 2.32
As1 0.1062 0.6250 0.9812  2 Ni 2.32, 2 W 2.44
As2 0.3750 0.3562 0.4812  2 Ni 2.32, 2 W 2.44
As3 0.6438 0.1250 0.0188  2 Ni 2.32, 2 W 2.44
As4 0.8750 0.8938 0.5188  2 Ni 2.32, 2 W 2.44
W1 0.2500 0.7500 0.5000  4 As 2.44
W2 0.5000 0.5000 0.0000  4 As 2.44